A plane-wave DFT calculation with GGA+U was carried out for an optimized crystal structure of SrAcMoO6.

Values from the calculation:
total energy = -6.998 eV per atom

a = 5.9399 Å, b = 5.9398 Å, c = 5.0851 Å
α = 90.69°, β = 89.31°, γ = 58.29°
With the nearest neighbours (Å) after each atom.
Fractional positions:
Sr (0.6702, 0.6703, 0.5000)  6 O 2.43-2.54
Ac (0.9937, 0.9938, 0.0000)  6 O 2.47-2.58
Mo (0.3494, 0.3494, 0.5000)  6 O 1.87-2.06
O (0.0842, 0.2855, 0.3070)  1 Mo 2.06, 1 O 2.31
O (0.2854, 0.0842, 0.6929)  1 Mo 2.06, 1 O 2.31
O (0.6033, 0.3303, 0.7272)  1 Mo 1.87
O (0.0561, 0.6271, 0.7114)  1 Mo 1.95
O (0.3302, 0.6034, 0.2729)  1 Mo 1.87
O (0.6271, 0.0562, 0.2886)  1 Mo 1.95